No. 1
Material: CrFeAu2
Method: DFT, PBE
State: relaxed

For the density of states at the Fermi level, the calculation gives 21.3 states/eV per cell.

The space group is F-43m (No. 216) and the conventional cell measures 6.365, 6.365 and 6.365 Å, with angles of 90.00, 90.00 and 90.00 degrees. The asymmetric unit holds Cr at (0.000, 0.000, 0.000), Fe at (0.250, 0.250, 0.250), Au at (0.000, 0.000, 0.500) and Au at (0.250, 0.250, 0.750).

---

No. 2
Material: Ta6Mn5Co
Method: DFT, PBE
State: relaxed

For the density of states at the Fermi level, the calculation gives 9.5 states/eV per cell.

The space group is Immm (No. 71) and the conventional cell measures 4.342, 6.122 and 12.983 Å, with angles of 90.00, 90.00 and 90.00 degrees. The asymmetric unit holds Ta at (0.000, 0.248, 0.000), Ta at (0.000, 0.250, 0.333), Mn at (0.000, 0.000, 0.167), Mn at (0.000, 0.500, 0.166), Mn at (0.000, 0.500, 0.500) and Co at (0.000, 0.000, 0.500).

---

No. 3
Material: CaYPtRh
Method: DFT, PBE
State: relaxed

For the density of states at the Fermi level, the calculation gives 2.4 states/eV per cell.

The space group is P4mm (No. 99) and the conventional cell measures 3.432, 3.432 and 7.138 Å, with angles of 90.00, 90.00 and 90.00 degrees. The asymmetric unit holds Ca at (0.000, 0.000, 0.000), Y at (0.000, 0.000, 0.503), Pt at (0.500, 0.500, 0.266) and Rh at (0.500, 0.500, 0.734).

---

No. 4
Material: Ga3Ni4
Method: DFT, PBE
State: relaxed

For the density of states at the Fermi level, the calculation gives 24.7 states/eV per cell.

The space group is R-3 (No. 148, hexagonal axes) and the conventional cell measures 10.8537, 10.8537 and 5.0206 Å, with angles of 90.00, 90.00 and 120.00 degrees. The asymmetric unit holds Ga at (0.0453, 0.8179, 0.1908), Ni at (0.0000, 0.0000, 0.0000), Ni at (0.0000, 0.0000, 0.5000) and Ni at (0.0486, 0.8003, 0.6817).

---

No. 5
Material: Pr3Mg2Hg
Method: DFT, PBE
State: relaxed

For the density of states at the Fermi level, the calculation gives 8.1 states/eV per cell.

The space group is P4/mmm (No. 123) and the conventional cell measures 3.906, 3.906 and 11.608 Å, with angles of 90.00, 90.00 and 90.00 degrees. The asymmetric unit holds Pr at (0.000, 0.000, 0.000), Pr at (0.000, 0.000, 0.336), Mg at (0.500, 0.500, 0.164) and Hg at (0.500, 0.500, 0.500).

---

No. 6
Material: Li3Al3Zn8
Method: DFT, PBE
State: relaxed

For the density of states at the Fermi level, the calculation gives 6.3 states/eV per cell.

The space group is Immm (No. 71) and the conventional cell measures 4.164, 10.010 and 11.161 Å, with angles of 90.00, 90.00 and 90.00 degrees. The asymmetric unit holds Li at (0.000, 0.000, 0.000), Li at (0.000, 0.000, 0.276), Al at (0.000, 0.163, 0.500), Al at (0.000, 0.500, 0.000), Zn at (0.000, 0.277, 0.155) and Zn at (0.000, 0.377, 0.372).

---

No. 7
Material: TmSc2Ag3Se6
Method: DFT, PBE
State: relaxed

The space group is C2/m (No. 12) and the conventional cell measures 6.943, 12.032 and 6.961 Å, with angles of 90.00, 109.30 and 90.00 degrees. The asymmetric unit holds Tm at (0.000, 0.000, 0.000), Sc at (0.000, 0.332, 0.000), Ag at (0.000, 0.161, 0.500), Ag at (0.000, 0.500, 0.500), Se at (0.234, 0.500, 0.234) and Se at (0.249, 0.172, 0.234).

---

No. 8
Material: AlPtBr
Method: DFT, PBE
State: relaxed

The space group is P-1 (No. 2) and the conventional cell measures 3.736, 5.477 and 8.469 Å, with angles of 95.88, 100.70 and 109.83 degrees. The asymmetric unit holds Al at (0.201, 0.347, 0.066), Pt at (0.459, 0.827, 0.110) and Br at (0.217, 0.168, 0.318).

---

Number 1: DFT total energy -5.793 eV/atom. Number 2: DFT total energy -10.559 eV/atom. Number 3: DFT total energy -6.314 eV/atom. Number 4: DFT total energy -4.953 eV/atom. Number 5: DFT total energy -3.201 eV/atom. Number 6: DFT total energy -2.007 eV/atom. Number 7: DFT total energy -4.961 eV/atom. Number 8: DFT total energy -4.489 eV/atom.